Tb4PmAl4: relaxed, GGA-PBE.

As for the total moment: 0.0 μB/f.u. The space group is No. 86. The energy of formation from the pure elements comes out at -149 meV per atom. Its total energy is -4.40 eV/atom.

Unit cell a=5.866 b=8.839 c=8.839 alpha=90.00 beta=90.00 gamma=90.00
Atoms (fractional coordinates):
Tb: 0.387 0.426 0.834
Tb: 0.887 0.666 0.926
Tb: 0.387 0.574 0.166
Tb: 0.113 0.074 0.666
Tb: 0.613 0.834 0.574
Tb: 0.113 0.926 0.334
Tb: 0.887 0.334 0.074
Tb: 0.613 0.166 0.426
Pm: 0.000 0.000 0.000
Pm: 0.500 0.500 0.500
Al: 0.592 0.905 0.195
Al: 0.592 0.095 0.805
Al: 0.092 0.695 0.595
Al: 0.908 0.405 0.695
Al: 0.908 0.595 0.305
Al: 0.408 0.195 0.095
Al: 0.408 0.805 0.905
Al: 0.092 0.305 0.405